1.
A plane-wave DFT calculation with GGA-PBE was carried out for RbBiH after structural relaxation.

Computed properties:
As for the energy relative to the lowest polymorph listed for this composition: 164 meV per atom.

a b c (Å): 4.2106 4.2286 10.7323
angles (deg): 90.00 90.00 90.00
Last column: nearest neighbours and their distance in Å.
Fractional positions:
Rb1 0.2500 0.2500 0.1597  4 H 2.72
Rb2 0.7500 0.7500 0.8403  4 H 2.72
Bi1 0.2500 0.2500 0.5597  4 Bi 3.25
Bi2 0.7500 0.7500 0.4403  4 Bi 3.25
H1 0.2500 0.7500 0.0009  4 Rb 2.72, 4 H 2.98
H2 0.7500 0.2500 0.9991  4 Rb 2.72, 4 H 2.98

***

2.
A plane-wave DFT calculation with GGA-PBE was carried out for HfSiAg after structural relaxation.

Computed properties:
The formation energy without anion corrections is -0.137 eV/atom.

a b c (Å): 5.1372 5.1372 6.8362
angles (deg): 113.36 113.36 42.94
Last column: nearest neighbours and their distance in Å.
Fractional positions:
Hf1 0.1535 0.1535 0.2863  4 Si 2.68-2.81
Hf2 0.8465 0.8465 0.7137  4 Si 2.68-2.81
Si1 0.1209 0.1209 0.6571  1 Si 2.39, 2 Ag 2.61
Si2 0.8791 0.8791 0.3429  1 Si 2.39, 2 Ag 2.61
Ag1 0.3836 0.3836 0.0798  3 Si 2.61-2.91, 1 Ag 2.87
Ag2 0.6164 0.6164 0.9202  3 Si 2.61-2.91, 1 Ag 2.87

***

3.
A plane-wave DFT calculation with GGA-PBE was carried out for KNbBi2Cl after structural relaxation.

Computed properties:
The formation energy without anion corrections is 0.496 eV/atom.

a b c (Å): 5.9340 5.9340 4.5857
angles (deg): 90.00 90.00 90.00
Last column: nearest neighbours and their distance in Å.
Fractional positions:
K1 0.0000 0.0000 0.0000  8 Bi 3.75, 4 Nb 4.20
Nb1 0.5000 0.5000 0.0000  2 Cl 2.29
Bi1 0.0000 0.5000 0.5000  2 Cl 2.97
Bi2 0.5000 0.0000 0.5000  2 Cl 2.97
Cl1 0.5000 0.5000 0.5000  2 Nb 2.29

***

4.
A plane-wave DFT calculation with GGA-PBE was carried out for Pm2ScTe3 after structural relaxation.

Computed properties:
As for the energy relative to the lowest polymorph listed for this composition: 181 meV per atom. The formation energy without anion corrections is -1.107 eV/atom.

a b c (Å): 9.1614 9.1614 9.1614
angles (deg): 154.46 146.17 42.86
Last column: nearest neighbours and their distance in Å.
Fractional positions:
Pm1 0.1427 0.1427 0.0000  7 Te 3.17-3.38
Pm2 0.8573 0.8573 0.0000  7 Te 3.17-3.38
Sc1 0.5000 0.5000 0.0000  4 Te 2.67-2.92
Te1 0.0000 0.5000 0.5000  2 Sc 2.67
Te2 0.3290 0.3290 0.0000  1 Sc 2.92, 1 Pm 3.18
Te3 0.6710 0.6710 0.0000  1 Sc 2.92, 1 Pm 3.18

***

5.
A plane-wave DFT calculation with GGA-PBE was carried out for ThCd4Cu2 after structural relaxation.

Computed properties:
As for the formation enthalpy at 0 K: -0.69 eV/f.u.

a b c (Å): 8.5815 8.5815 4.1757
angles (deg): 90.00 90.00 151.43
Last column: nearest neighbours and their distance in Å.
Fractional positions:
Th1 0.0000 0.0000 0.0000  8 Cu 3.20, 4 Cd 3.58
Cd1 0.1748 0.8252 0.5000  2 Cu 2.73, 4 Cd 2.97
Cd2 0.3220 0.6780 0.0000  2 Cu 2.74, 4 Cd 2.97
Cd3 0.6780 0.3220 0.0000  2 Cu 2.74, 4 Cd 2.97
Cd4 0.8252 0.1748 0.5000  2 Cu 2.73, 4 Cd 2.97
Cu1 0.4289 0.5711 0.5000  1 Cu 2.36
Cu2 0.5711 0.4289 0.5000  1 Cu 2.36

***

6.
A plane-wave DFT calculation with GGA-PBE was carried out for HgPtCl2 after structural relaxation.

Computed properties:
As for the energy relative to the lowest polymorph listed for this composition: 219 meV per atom. The formation energy without anion corrections is -0.005 eV/atom.

a b c (Å): 10.7989 10.7989 10.7989
angles (deg): 16.63 16.63 16.63
Last column: nearest neighbours and their distance in Å.
Fractional positions:
Hg1 0.0000 0.0000 0.0000  6 Hg 3.12
Pt1 0.5000 0.5000 0.5000  2 Cl 2.24
Cl1 0.4299 0.4299 0.4299  1 Pt 2.24
Cl2 0.5701 0.5701 0.5701  1 Pt 2.24

***

7.
A plane-wave DFT calculation with GGA-PBE was carried out for DyTm2ThSe4 after structural relaxation.

Computed properties:
The formation energy without anion corrections is -1.638 eV/atom.

a b c (Å): 7.0364 4.0210 7.1815
angles (deg): 90.00 108.78 90.00
Last column: nearest neighbours and their distance in Å.
Fractional positions:
Dy1 0.0000 0.0000 0.0000  6 Se 2.91-2.92
Tm1 0.0000 0.5000 0.5000  6 Se 2.81
Tm2 0.5000 0.0000 0.5000  6 Se 2.86
Th1 0.5000 0.5000 0.0000  6 Se 2.97
Se1 0.2385 0.0000 0.7342  3 Tm 2.81-2.86, 1 Dy 2.92, 2 Th 2.97
Se2 0.2478 0.5000 0.2610  3 Tm 2.81-2.86, 2 Dy 2.91, 1 Th 2.97
Se3 0.7522 0.5000 0.7390  3 Tm 2.81-2.86, 2 Dy 2.91, 1 Th 2.97
Se4 0.7615 0.0000 0.2658  3 Tm 2.81-2.86, 1 Dy 2.92, 2 Th 2.97

***

8.
A plane-wave DFT calculation with GGA-PBE was carried out for CsYTiRu2 after structural relaxation.

Computed properties:
As for the formation enthalpy at 0 K: 10.96 eV/f.u.

a b c (Å): 4.9104 4.9104 5.3494
angles (deg): 90.00 90.00 90.00
Last column: nearest neighbours and their distance in Å.
Fractional positions:
Cs1 0.0000 0.0000 0.0000  4 Ru 2.46, 2 Y 2.67
Y1 0.0000 0.0000 0.5000  2 Cs 2.67
Ti1 0.5000 0.5000 0.5000  4 Y 3.47, 8 Ru 3.63
Ru1 0.0000 0.5000 0.0000  2 Cs 2.46
Ru2 0.5000 0.0000 0.0000  2 Cs 2.46

***

> Which formula does entry 4 have?

Pm2ScTe3